# 1
{"formula": "Sc5UOs6", "functional": "PBE", "state": "optimized geometry", "volume_a3_per_atom": 17.1, "cell": [[2.303, -6.831, 0.000], [2.303, 6.831, 0.000], [0.000, 0.000, 6.518]], "species": ["Sc", "Sc", "Sc", "Sc", "Sc", "U", "Os", "Os", "Os", "Os", "Os", "Os"], "frac_coords": [[0.000, 0.000, 0.000], [0.328, 0.672, 0.500], [0.331, 0.669, 0.000], [0.669, 0.331, 0.000], [0.672, 0.328, 0.500], [0.000, 0.000, 0.500], [0.162, 0.838, 0.256], [0.162, 0.838, 0.744], [0.500, 0.500, 0.257], [0.500, 0.500, 0.743], [0.838, 0.162, 0.256], [0.838, 0.162, 0.744]]}

# 2
{"formula": "Sc3VOs", "functional": "PBE", "state": "optimized geometry", "relative_energy_ev_per_atom": 0.5919, "volume_a3_per_atom": 19.8, "cell": [[4.625, 0.000, 0.000], [0.000, 4.625, 0.000], [0.000, 0.000, 4.625]], "species": ["Sc", "Sc", "Sc", "V", "Os"], "frac_coords": [[0.000, 0.000, 0.500], [0.000, 0.500, 0.000], [0.500, 0.000, 0.000], [0.000, 0.000, 0.000], [0.500, 0.500, 0.500]]}

# 3
{"formula": "ScV2Os3", "functional": "PBE", "state": "optimized geometry", "volume_a3_per_atom": 14.7, "cell": [[3.052, 0.000, 0.000], [0.000, 3.052, 0.000], [0.000, 0.000, 9.476]], "species": ["Sc", "V", "V", "Os", "Os", "Os"], "frac_coords": [[0.000, 0.000, 0.000], [0.000, 0.000, 0.338], [0.000, 0.000, 0.662], [0.500, 0.500, 0.186], [0.500, 0.500, 0.500], [0.500, 0.500, 0.814]]}

# 4
{"formula": "Sc2VOs3", "functional": "PBE", "state": "optimized geometry", "volume_a3_per_atom": 16.5, "cell": [[4.319, -2.665, 0.000], [4.319, 2.665, 0.000], [-2.694, 0.000, 4.311]], "species": ["Sc", "Sc", "V", "Os", "Os", "Os"], "frac_coords": [[0.125, 0.125, 0.375], [0.875, 0.875, 0.625], [0.500, 0.500, 0.000], [0.000, 0.500, 0.000], [0.500, 0.000, 0.000], [0.500, 0.500, 0.500]]}

# 5
{"formula": "Sc3VOs4", "functional": "PBE", "state": "optimized geometry", "volume_a3_per_atom": 15.9, "cell": [[3.131, 0.000, 0.000], [0.000, 3.131, 0.000], [0.000, 0.000, 12.991]], "species": ["Sc", "Sc", "Sc", "V", "Os", "Os", "Os", "Os"], "frac_coords": [[0.000, 0.000, 0.000], [0.000, 0.000, 0.253], [0.000, 0.000, 0.747], [0.000, 0.000, 0.500], [0.500, 0.500, 0.129], [0.500, 0.500, 0.390], [0.500, 0.500, 0.610], [0.500, 0.500, 0.871]]}

# 6
{"formula": "ScV2Os", "functional": "PBE", "state": "optimized geometry", "relative_energy_ev_per_atom": 0.4172, "volume_a3_per_atom": 17.3, "cell": [[-3.584, 3.584, 2.688], [3.584, -3.584, 2.688], [3.584, 3.584, -2.688]], "species": ["Sc", "Sc", "V", "V", "V", "V", "Os", "Os"], "frac_coords": [[0.000, 0.000, 0.000], [0.750, 0.250, 0.500], [0.171, 0.625, 0.046], [0.375, 0.421, 0.546], [0.579, 0.125, 0.954], [0.875, 0.829, 0.454], [0.250, 0.750, 0.500], [0.500, 0.500, 0.000]]}

Number 1: formation energy -0.43 eV/atom. Number 2: formation energy 0.98 eV/atom. Number 3: formation energy -0.34 eV/atom. Number 4: formation energy -0.42 eV/atom. Number 5: formation energy -0.36 eV/atom. Number 6: formation energy 0.34 eV/atom.